# 1
Material: TcIrRu2
Method: DFT, GGA-PBE
State: optimized geometry

Unit cell a=4.340 b=2.737 c=4.763 alpha=90.00 beta=90.00 gamma=90.00
Atoms (fractional coordinates):
Ru: 0.000 0.875 0.046
Ru: 0.500 0.375 0.208
Ir: 0.500 0.875 0.710
Tc: 0.000 0.375 0.536

## Properties
theoretical density = 14.45 g/cm3
final energy = -0.7042 Ry/atom
SG = Pmm2, No. 25

# 2
Material: Nb5Pt
Method: DFT, GGA-PBE
State: optimized geometry

Unit cell a=3.360 b=4.633 c=7.197 alpha=108.78 beta=90.00 gamma=90.00
Atoms (fractional coordinates):
Nb: 0.000 0.663 0.326
Nb: 0.000 0.337 0.674
Nb: 0.500 0.500 0.000
Nb: 0.500 0.167 0.335
Nb: 0.500 0.833 0.665
Pt: 0.000 0.000 0.000

## Properties
theoretical density = 10.33 g/cm3
final energy = -0.7099 Ry/atom
SG = Cmmm, No. 65

# 3
Material: BiAs3O6
Method: DFT, GGA-PBE
State: optimized geometry

Unit cell a=4.614 b=6.949 c=6.949 alpha=115.25 beta=102.79 gamma=102.79
Atoms (fractional coordinates):
Bi: 0.183 0.000 0.000
As: 0.846 0.476 0.000
As: 0.846 0.000 0.476
As: 0.370 0.524 0.524
O: 0.184 0.000 0.638
O: 0.184 0.638 0.000
O: 0.915 0.000 0.243
O: 0.915 0.243 0.000
O: 0.672 0.757 0.757
O: 0.546 0.362 0.362

## Properties
theoretical density = 4.79 g/cm3
final energy = -0.4205 Ry/atom
raw formation energy = -22.2 kcal/mol of atoms
SG = R3m, No. 160

# 4
Material: ZrTa2CoOs
Method: DFT, GGA-PBE
State: optimized geometry

Unit cell a=4.511 b=4.633 c=4.511 alpha=90.00 beta=90.00 gamma=90.00
Atoms (fractional coordinates):
Co: 0.000 0.000 0.000
Os: 0.000 0.500 0.000
Zr: 0.500 0.500 0.500
Ta: 0.000 0.000 0.500
Ta: 0.500 0.000 0.000

## Properties
theoretical density = 12.37 g/cm3
final energy = -0.6917 Ry/atom
SG = P4/mmm, No. 123